(1)
{"formula": "Ni2Br", "functional": "PBE", "state": "optimized geometry", "sg": "No. 123", "dft_energy_ev_per_atom": -3.836, "cell": [[3.475, 0.000, 0.000], [0.000, 3.475, 0.000], [0.000, 0.000, 3.942]], "species": ["Ni", "Ni", "Br"], "frac_coords": [[0.000, 0.500, 0.000], [0.500, 0.000, 0.000], [0.000, 0.000, 0.500]]}

(2)
{"formula": "Ni2Br", "functional": "PBE", "state": "optimized geometry", "sg": "No. 12", "dft_energy_ev_per_atom": -4.164, "cell": [[7.956, -1.596, 0.000], [7.956, 1.596, 0.000], [-0.823, 0.000, 4.752]], "species": ["Ni", "Ni", "Ni", "Ni", "Br", "Br"], "frac_coords": [[0.195, 0.195, 0.108], [0.211, 0.211, 0.612], [0.789, 0.789, 0.388], [0.805, 0.805, 0.892], [0.397, 0.397, 0.193], [0.603, 0.603, 0.807]]}

(3)
{"formula": "Ni2Br", "functional": "PBE", "state": "optimized geometry", "sg": "No. 141", "dft_energy_ev_per_atom": -3.710, "cell": [[-1.626, 1.626, 8.791], [1.626, -1.626, 8.791], [1.626, 1.626, -8.791]], "species": ["Ni", "Ni", "Ni", "Ni", "Br", "Br"], "frac_coords": [[0.300, 0.550, 0.750], [0.450, 0.700, 0.750], [0.550, 0.300, 0.250], [0.700, 0.450, 0.250], [0.125, 0.875, 0.250], [0.875, 0.125, 0.750]]}

(4)
{"formula": "Ni2Br", "functional": "PBE", "state": "optimized geometry", "sg": "No. 58", "dft_energy_ev_per_atom": -3.904, "cell": [[3.495, 0.000, 0.000], [0.000, 8.204, 0.000], [0.000, 0.000, 3.296]], "species": ["Ni", "Ni", "Ni", "Ni", "Br", "Br"], "frac_coords": [[0.238, 0.216, 0.000], [0.262, 0.716, 0.500], [0.738, 0.284, 0.500], [0.762, 0.784, 0.000], [0.000, 0.000, 0.500], [0.500, 0.500, 0.000]]}

(5)
{"formula": "Ni2Br", "functional": "PBE", "state": "optimized geometry", "sg": "No. 62", "dft_energy_ev_per_atom": -3.966, "cell": [[4.738, 0.000, 0.000], [0.000, 3.740, 0.000], [0.000, 0.000, 10.530]], "species": ["Ni", "Ni", "Ni", "Ni", "Ni", "Ni", "Ni", "Ni", "Br", "Br", "Br", "Br"], "frac_coords": [[0.007, 0.250, 0.075], [0.007, 0.750, 0.225], [0.493, 0.250, 0.725], [0.493, 0.750, 0.575], [0.507, 0.250, 0.425], [0.507, 0.750, 0.275], [0.993, 0.250, 0.775], [0.993, 0.750, 0.925], [0.007, 0.250, 0.371], [0.493, 0.750, 0.871], [0.507, 0.250, 0.129], [0.993, 0.750, 0.629]]}

Asked for density of states at the Fermi level across the records above, the calculation gives 5.045 5.677 10.274 7.445 13.329 states/eV per cell in order.